Tb3Ga2Ru2 | PBE-GGA | relaxed

calculated volume: 21.32 A^3/atom
Fermi-level density of states: 0.774 states/eV per atom
VASP energy: -6.054 eV/atom
magnetic moment: 0.0 Bohr magnetons per cell

a = 5.570 Å, b = 7.671 Å, c = 13.967 Å
α = 90.00°, β = 90.00°, γ = 90.00°
Element x y z (fractional)
Tb  0.119  0.237  0.250
Tb  0.119  0.263  0.750
Tb  0.347  0.599  0.095
Tb  0.347  0.599  0.405
Tb  0.347  0.901  0.595
Tb  0.347  0.901  0.905
Tb  0.653  0.099  0.095
Tb  0.653  0.099  0.405
Tb  0.653  0.401  0.595
Tb  0.653  0.401  0.905
Tb  0.881  0.737  0.250
Tb  0.881  0.763  0.750
Ga  0.134  0.250  0.000
Ga  0.134  0.250  0.500
Ga  0.376  0.606  0.750
Ga  0.376  0.894  0.250
Ga  0.624  0.106  0.750
Ga  0.624  0.394  0.250
Ga  0.866  0.750  0.000
Ga  0.866  0.750  0.500
Ru  0.145  0.536  0.594
Ru  0.145  0.536  0.906
Ru  0.145  0.964  0.094
Ru  0.145  0.964  0.406
Ru  0.855  0.036  0.594
Ru  0.855  0.036  0.906
Ru  0.855  0.464  0.094
Ru  0.855  0.464  0.406